--- w ---
DFT (SCAN) results for a PBEsol-optimized structure of FeAgCl2.

Geometry as CIF:
```
data_FeAgCl2
_chemical_formula_sum 'Fe1 Ag1 Cl2'
_cell_length_a 4.540
_cell_length_b 4.540
_cell_length_c 4.540
_cell_angle_alpha 60.00
_cell_angle_beta 60.00
_cell_angle_gamma 60.00
_symmetry_space_group_name_H-M 'P 1'
_symmetry_Int_Tables_number 1
_symmetry_space_group_name_Hall 'P 1'
loop_
_atom_site_label
_atom_site_type_symbol
_atom_site_fract_x
_atom_site_fract_y
_atom_site_fract_z
Fe1 Fe 0.000 0.000 0.000
Ag1 Ag 0.500 0.500 0.500
Cl1 Cl 0.250 0.250 0.250
Cl2 Cl 0.750 0.750 0.750
```

Properties
volume = 16.5 Å³ per atom
spin magnetization = 3.022 μB/cell


--- x ---
DFT (SCAN) results for a PBEsol-optimized structure of FeAgCl2.

Geometry as CIF:
```
data_FeAgCl2
_chemical_formula_sum 'Fe1 Ag1 Cl2'
_cell_length_a 4.613
_cell_length_b 4.613
_cell_length_c 4.613
_cell_angle_alpha 60.00
_cell_angle_beta 60.00
_cell_angle_gamma 60.00
_symmetry_space_group_name_H-M 'P 1'
_symmetry_Int_Tables_number 1
_symmetry_space_group_name_Hall 'P 1'
loop_
_atom_site_label
_atom_site_type_symbol
_atom_site_fract_x
_atom_site_fract_y
_atom_site_fract_z
Fe1 Fe 0.000 0.000 0.000
Ag1 Ag 0.250 0.250 0.250
Cl1 Cl 0.500 0.500 0.500
Cl2 Cl 0.750 0.750 0.750
```

Properties
volume = 17.4 Å³ per atom
spin magnetization = 3.304 μB/cell


Stability comparison, relative energies in kJ/mol of atoms: w 0.0; x 46.9


--- w ---
DFT (SCAN) results for a PBEsol-optimized structure of AgGeP2Cl.

Geometry as CIF:
```
data_AgGeP2Cl
_chemical_formula_sum 'Ag1 Ge1 P2 Cl1'
_cell_length_a 4.689
_cell_length_b 4.689
_cell_length_c 4.844
_cell_angle_alpha 90.00
_cell_angle_beta 90.00
_cell_angle_gamma 90.00
_symmetry_space_group_name_H-M 'P 1'
_symmetry_Int_Tables_number 1
_symmetry_space_group_name_Hall 'P 1'
loop_
_atom_site_label
_atom_site_type_symbol
_atom_site_fract_x
_atom_site_fract_y
_atom_site_fract_z
Ag1 Ag 0.000 0.000 0.000
Ge1 Ge 0.500 0.500 0.500
P1 P 0.000 0.500 0.500
P2 P 0.500 0.000 0.500
Cl1 Cl 0.500 0.500 0.000
```

Properties
volume = 21.3 Å³ per atom
spin magnetization = 1.194 μB/cell


--- x ---
DFT (SCAN) results for a PBEsol-optimized structure of AgGeP2Cl.

Geometry as CIF:
```
data_AgGeP2Cl
_chemical_formula_sum 'Ag1 Ge1 P2 Cl1'
_cell_length_a 4.719
_cell_length_b 4.719
_cell_length_c 4.921
_cell_angle_alpha 90.00
_cell_angle_beta 90.00
_cell_angle_gamma 90.00
_symmetry_space_group_name_H-M 'P 1'
_symmetry_Int_Tables_number 1
_symmetry_space_group_name_Hall 'P 1'
loop_
_atom_site_label
_atom_site_type_symbol
_atom_site_fract_x
_atom_site_fract_y
_atom_site_fract_z
Ag1 Ag 0.000 0.000 0.000
Ge1 Ge 0.500 0.500 0.500
P1 P 0.000 0.500 0.000
P2 P 0.500 0.000 0.000
Cl1 Cl 0.000 0.000 0.500
```

Properties
volume = 21.9 Å³ per atom
spin magnetization = 1.099 μB/cell


Stability comparison, relative energies in kJ/mol of atoms: w 0.0; x 19.4